Computed, not measured: a geometry-optimized MgGa4Ag7 structure at the PBE level of DFT.

```
MgGa4Ag7
1.0
5.261 -2.562 0.000
5.261 2.562 0.000
-4.882 0.000 8.536
Mg Ga Ag
1 4 7
direct
0.000 0.000 0.000
0.275 0.275 0.687
0.416 0.416 0.227
0.584 0.584 0.773
0.725 0.725 0.313
0.043 0.043 0.377
0.209 0.209 0.919
0.344 0.344 0.453
0.500 0.500 0.000
0.656 0.656 0.547
0.791 0.791 0.081
0.957 0.957 0.623
```

Results
Symmetry: No. 12
Electronic total energy in eV/f.u.: -32.7
Calculated formation energy in meV per atom: 76
Spin magnetization in Bohr magnetons per cell: 0.00

Computed, not measured: a geometry-optimized Mg8GaAg2 structure at the PBE level of DFT.

```
Mg8GaAg2
1.0
7.907 -2.338 0.000
7.907 2.338 0.000
-2.666 0.000 6.174
Mg Ga Ag
8 1 2
direct
0.020 0.020 0.259
0.185 0.185 0.754
0.333 0.333 0.570
0.390 0.390 0.060
0.610 0.610 0.940
0.667 0.667 0.430
0.815 0.815 0.246
0.980 0.980 0.741
0.500 0.500 0.500
0.180 0.180 0.173
0.820 0.820 0.827
```

Results
Symmetry: No. 12
Electronic total energy in eV/f.u.: -22.8
Calculated formation energy in meV per atom: -117
Spin magnetization in Bohr magnetons per cell: 0.00